# 1
VASP calculation (PBE) on an optimized crystal structure of TaPAu.

Output
Energy above the most stable polymorph in this dataset in meV/atom: 0
Space-group type: I4mm (107)
Mass density in g/cm3: 13.37
Calculated volume in Å³/cell: 50.80

Cell and atoms, written as POSCAR:
```
TaPAu
1.0
-1.592 1.592 5.008
1.592 -1.592 5.008
1.592 1.592 -5.008
Ta P Au
1 1 1
direct
0.000 0.000 0.000
0.613 0.613 0.000
0.305 0.305 0.000
```



# 2
VASP calculation (PBE) on an optimized crystal structure of LiErPdRh.

Output
Energy above the most stable polymorph in this dataset in meV/atom: 0
Space-group type: Pmmm (47)
Mass density in g/cm3: 9.50
Calculated volume in Å³/cell: 67.06

Cell and atoms, written as POSCAR:
```
LiErPdRh
1.0
3.725 0.000 0.000
0.000 4.113 0.000
0.000 0.000 4.378
Li Er Pd Rh
1 1 1 1
direct
0.000 0.000 0.000
0.000 0.500 0.500
0.500 0.500 0.000
0.500 0.000 0.500
```



# 3
VASP calculation (PBE) on an optimized crystal structure of Ba2Cu2Ir.

Output
Energy above the most stable polymorph in this dataset in meV/atom: 23
Space-group type: P4/mbm (127)
Mass density in g/cm3: 8.09
Calculated volume in Å³/cell: 243.70

Cell and atoms, written as POSCAR:
```
Ba2Cu2Ir
1.0
7.112 0.000 0.000
0.000 7.112 0.000
0.000 0.000 4.818
Ba Cu Ir
4 4 2
direct
0.191 0.309 0.000
0.309 0.809 0.000
0.691 0.191 0.000
0.809 0.691 0.000
0.127 0.627 0.500
0.373 0.127 0.500
0.627 0.873 0.500
0.873 0.373 0.500
0.000 0.000 0.500
0.500 0.500 0.500
```



# 4
VASP calculation (PBE) on an optimized crystal structure of LaW3C.

Output
Energy above the most stable polymorph in this dataset in meV/atom: 0
Space-group type: Pm-3m (221)
Mass density in g/cm3: 13.83
Calculated volume in Å³/cell: 84.32

Cell and atoms, written as POSCAR:
```
LaW3C
1.0
4.385 0.000 0.000
0.000 4.385 0.000
0.000 0.000 4.385
La W C
1 3 1
direct
0.000 0.000 0.000
0.000 0.500 0.500
0.500 0.000 0.500
0.500 0.500 0.000
0.500 0.500 0.500
```